DyZr4In5 | PBE | optimized geometry

The space group is Pmmn (No. 59, origin choice 2) and the conventional cell measures 8.0626, 9.9991 and 6.1181 Å, with angles of 90.00, 90.00 and 90.00 degrees. The distinct sites, in fractional coordinates, are Dy at (0.2500, 0.2500, 0.0252), Zr at (0.0705, 0.2500, 0.5072), Zr at (0.2500, 0.5967, 0.3476), In at (0.0663, 0.5140, 0.7826) and In at (0.2500, 0.7500, 0.9018).

The value obtained for the formation energy from the elements is -30 meV per atom. The calculation puts the total magnetization at 0.00 μB per cell. The final energy is -0.1940 hartree per atom. The energy above the most stable polymorph in this dataset is 0.297 eV per atom.